A plane-wave DFT calculation with PBE was carried out for an optimized crystal structure of AcThSn.

Cell and atoms, written as POSCAR:
```
AcThSn
1.0
0.000 3.836 3.836
3.836 0.000 3.836
3.836 3.836 0.000
Ac Th Sn
1 1 1
Direct
0.000 0.000 0.000 Ac
0.500 0.500 0.500 Th
0.250 0.250 0.250 Sn
```

The total magnetization is 0.00 μB/atom. As for the crystal system: cubic. The volume comes out at 113 Å³ per cell. The value obtained for the electronic total energy is -5.31 eV per atom. The calculation puts the excess energy over the best structure of this formula in the dataset at 0.000 eV per formula unit.


A plane-wave DFT calculation with PBE was carried out for an optimized crystal structure of AcSnW.

Cell and atoms, written as POSCAR:
```
AcSnW
1.0
0.000 3.470 3.470
3.470 0.000 3.470
3.470 3.470 0.000
Ac Sn W
1 1 1
Direct
0.000 0.000 0.000 Ac
0.500 0.500 0.500 Sn
0.750 0.750 0.750 W
```

The total magnetization is 0.13 μB/atom. As for the crystal system: cubic. The volume comes out at 84 Å³ per cell. The value obtained for the electronic total energy is -6.30 eV per atom. The calculation puts the excess energy over the best structure of this formula in the dataset at 0.000 eV per formula unit.


A plane-wave DFT calculation with PBE was carried out for an optimized crystal structure of AcSnW.

Cell and atoms, written as POSCAR:
```
AcSnW
1.0
0.000 3.735 3.735
3.735 0.000 3.735
3.735 3.735 0.000
Ac Sn W
1 1 1
Direct
0.000 0.000 0.000 Ac
0.750 0.750 0.750 Sn
0.250 0.250 0.250 W
```

The total magnetization is 1.16 μB/atom. As for the crystal system: cubic. The volume comes out at 104 Å³ per cell. The value obtained for the electronic total energy is -5.51 eV per atom. The calculation puts the excess energy over the best structure of this formula in the dataset at 2.383 eV per formula unit.


A plane-wave DFT calculation with PBE was carried out for an optimized crystal structure of AcZrSn.

Cell and atoms, written as POSCAR:
```
AcZrSn
1.0
0.000 3.692 3.692
3.692 0.000 3.692
3.692 3.692 0.000
Ac Zr Sn
1 1 1
Direct
0.000 0.000 0.000 Ac
0.500 0.500 0.500 Zr
0.250 0.250 0.250 Sn
```

The total magnetization is 0.01 μB/atom. As for the crystal system: cubic. The volume comes out at 101 Å³ per cell. The value obtained for the electronic total energy is -5.54 eV per atom. The calculation puts the excess energy over the best structure of this formula in the dataset at 0.000 eV per formula unit.